[1]
Below is TiRe after structural relaxation, with properties calculated at the GGA-PBE level.

Structure (CIF):
```
data_TiRe
_chemical_formula_sum 'Ti6 Re6'
_cell_length_a 4.331
_cell_length_b 13.602
_cell_length_c 3.112
_cell_angle_alpha 90.00
_cell_angle_beta 90.00
_cell_angle_gamma 90.00
_space_group_name_H-M_alt 'C m m m'
_space_group_IT_number 65
_space_group_name_Hall '-C 2 2'
loop_
_atom_site_label
_atom_site_fract_x
_atom_site_fract_y
_atom_site_fract_z
_atom_site_occupancy
Ti1 0.000 0.000 0.000 1
Ti2 0.000 0.171 0.500 1
Re1 0.000 0.337 0.000 1
Re2 0.000 0.500 0.500 1
```

Output
ΔH_f (0 K): -0.77 eV per formula unit

=====

[2]
Below is Ti5Re after structural relaxation, with properties calculated at the GGA-PBE level.

Structure (CIF):
```
data_Ti5Re
_chemical_formula_sum 'Ti5 Re1'
_cell_length_a 3.113
_cell_length_b 3.113
_cell_length_c 10.315
_cell_angle_alpha 90.00
_cell_angle_beta 90.00
_cell_angle_gamma 90.00
_space_group_name_H-M_alt 'P 4/m m m'
_space_group_IT_number 123
_space_group_name_Hall '-P 4 2'
loop_
_atom_site_label
_atom_site_fract_x
_atom_site_fract_y
_atom_site_fract_z
_atom_site_occupancy
Ti1 0.000 0.000 0.000 1
Ti2 0.000 0.000 0.355 1
Ti3 0.500 0.500 0.176 1
Re1 0.500 0.500 0.500 1
```

Output
ΔH_f (0 K): -0.53 eV per formula unit
ΔE to the lowest computed polymorph: 0.05 kcal/mol of atoms

=====

[3]
Below is TiRe after structural relaxation, with properties calculated at the GGA-PBE level.

Structure (CIF):
```
data_TiRe
_chemical_formula_sum 'Ti8 Re8'
_cell_length_a 5.129
_cell_length_b 5.277
_cell_length_c 9.205
_cell_angle_alpha 90.00
_cell_angle_beta 90.00
_cell_angle_gamma 90.00
_space_group_name_H-M_alt 'I 21 21 21'
_space_group_IT_number 24
loop_
_space_group_symop_operation_xyz
'x,y,z'
'-x,-y+1/2,z'
'x,-y,-z+1/2'
'-x,y+1/2,-z+1/2'
'x+1/2,y+1/2,z+1/2'
'-x+1/2,-y,z+1/2'
'x+1/2,-y+1/2,-z'
'-x+1/2,y,-z'
loop_
_atom_site_label
_atom_site_fract_x
_atom_site_fract_y
_atom_site_fract_z
_atom_site_occupancy
Ti1 0.005 0.000 0.250 1
Ti2 0.250 0.381 0.000 1
Re1 0.000 0.250 0.747 1
Re2 0.250 0.110 0.500 1
```

Output
ΔH_f (0 K): -0.25 eV per formula unit

=====

[4]
Below is TiRe after structural relaxation, with properties calculated at the GGA-PBE level.

Structure (CIF):
```
data_TiRe
_chemical_formula_sum 'Ti4 Re4'
_cell_length_a 5.155
_cell_length_b 5.155
_cell_length_c 5.155
_cell_angle_alpha 90.00
_cell_angle_beta 90.00
_cell_angle_gamma 90.00
_space_group_name_H-M_alt 'F m -3 m'
_space_group_IT_number 225
_space_group_name_Hall '-F 4 2 3'
loop_
_atom_site_label
_atom_site_fract_x
_atom_site_fract_y
_atom_site_fract_z
_atom_site_occupancy
Ti1 0.000 0.000 0.000 1
Re1 0.000 0.000 0.500 1
```

Output
ΔH_f (0 K): 1.52 eV per formula unit

=====

[5]
Below is TiRe after structural relaxation, with properties calculated at the GGA-PBE level.

Structure (CIF):
```
data_TiRe
_chemical_formula_sum 'Ti6 Re6'
_cell_length_a 7.5110
_cell_length_b 7.5110
_cell_length_c 4.2421
_cell_angle_alpha 90.00
_cell_angle_beta 90.00
_cell_angle_gamma 120.00
_space_group_name_H-M_alt 'P 63/m'
_space_group_IT_number 176
_space_group_name_Hall '-P 6c'
loop_
_atom_site_label
_atom_site_fract_x
_atom_site_fract_y
_atom_site_fract_z
_atom_site_occupancy
Ti1 0.1339 0.2956 0.2500 1
Re1 0.1064 0.5152 0.7500 1
```

Output
ΔH_f (0 K): 0.27 eV per formula unit

=====

[6]
Below is Ti5Re24 after structural relaxation, with properties calculated at the GGA-PBE level.

Structure (CIF):
```
data_Ti5Re24
_chemical_formula_sum 'Ti10 Re48'
_cell_length_a 9.648
_cell_length_b 9.648
_cell_length_c 9.648
_cell_angle_alpha 90.00
_cell_angle_beta 90.00
_cell_angle_gamma 90.00
_space_group_name_H-M_alt 'I -4 3 m'
_space_group_IT_number 217
_space_group_name_Hall 'I -4 2 3'
loop_
_atom_site_label
_atom_site_fract_x
_atom_site_fract_y
_atom_site_fract_z
_atom_site_occupancy
Ti1 0.000 0.000 0.000 1
Ti2 0.183 0.183 0.817 1
Re1 0.041 0.359 0.359 1
Re2 0.091 0.091 0.284 1
```

Output
ΔH_f (0 K): -6.36 eV per formula unit

=====

[7]
Below is TiRe2 after structural relaxation, with properties calculated at the GGA-PBE level.

Structure (CIF):
```
data_TiRe2
_chemical_formula_sum 'Ti2 Re4'
_cell_length_a 3.099
_cell_length_b 3.099
_cell_length_c 9.420
_cell_angle_alpha 90.00
_cell_angle_beta 90.00
_cell_angle_gamma 90.00
_space_group_name_H-M_alt 'I 4/m m m'
_space_group_IT_number 139
_space_group_name_Hall '-I 4 2'
loop_
_atom_site_label
_atom_site_fract_x
_atom_site_fract_y
_atom_site_fract_z
_atom_site_occupancy
Ti1 0.000 0.000 0.000 1
Re1 0.000 0.000 0.333 1
```

Output
ΔH_f (0 K): -1.01 eV per formula unit

=====

[8]
Below is TiRe after structural relaxation, with properties calculated at the GGA-PBE level.

Structure (CIF):
```
data_TiRe
_chemical_formula_sum 'Ti4 Re4'
_cell_length_a 5.703
_cell_length_b 5.703
_cell_length_c 5.703
_cell_angle_alpha 90.00
_cell_angle_beta 90.00
_cell_angle_gamma 90.00
_space_group_name_H-M_alt 'F -4 3 m'
_space_group_IT_number 216
_space_group_name_Hall 'F -4 2 3'
loop_
_atom_site_label
_atom_site_fract_x
_atom_site_fract_y
_atom_site_fract_z
_atom_site_occupancy
Ti1 0.000 0.000 0.000 1
Re1 0.250 0.250 0.750 1
```

Output
ΔH_f (0 K): 4.18 eV per formula unit